(1)
Compound: Sc2BeSb
Source: Alexandria
Functional: PBE
Structure: relaxed

Values from the calculation:
- Raw formation energy: -1.2 eV per formula unit
- Density of states at the Fermi level: 2.67 states/eV per cell

a = 5.1877 Å, b = 5.1877 Å, c = 5.1877 Å
α = 131.48°, β = 131.48°, γ = 71.04°
Site moments in Bohr magnetons follow the coordinates.
Fractional positions:
Be  0.2500  0.7500  0.5000  0.00
Sc  0.0000  0.0000  0.0000  0.41
Sc  0.5000  0.5000  0.0000  0.41
Sb  0.7500  0.2500  0.5000  -0.01

=====

(2)
Compound: NaPrGdCd
Source: Alexandria
Functional: PBE
Structure: relaxed

Values from the calculation:
- Formation energy: -0.01 eV/atom
- Density of states at the Fermi level: 5.41 states/eV per cell

a = 5.5148 Å, b = 5.5148 Å, c = 5.5148 Å
α = 60.00°, β = 60.00°, γ = 60.00°
Site moments in Bohr magnetons follow the coordinates.
Fractional positions:
Cd  0.5000  0.5000  0.5000  -0.01
Na  0.0000  0.0000  0.0000  -0.01
Gd  0.2500  0.2500  0.2500  -7.28
Pr  0.7500  0.7500  0.7500  -0.20